No. 1
# CdRhAu2

A PBEsol-optimized structure of CdRhAu2 (SCAN, Alexandria).

Cell lengths 4.1087, 4.1087, 4.8621 Å; angles 114.99, 114.99, 90.00 degrees
Atoms (fractional coordinates):
Au 0.7500 0.2500 0.5000
Au 0.2500 0.7500 0.5000
Rh 0.0000 0.0000 0.0000
Cd 0.5000 0.5000 0.0000

Values from the calculation:
- Electronic total energy: -50.686 eV per atom
- Energy of formation: -61 meV/atom
- Crystal system: tetragonal



No. 2
# CdRhAu2

A PBEsol-optimized structure of CdRhAu2 (SCAN, Alexandria).

Cell lengths 4.5324, 4.5324, 4.5324 Å; angles 60.00, 60.00, 60.00 degrees
Atoms (fractional coordinates):
Au 0.0000 0.0000 0.0000
Au 0.7500 0.7500 0.7500
Rh 0.2500 0.2500 0.2500
Cd 0.5000 0.5000 0.5000

Values from the calculation:
- Electronic total energy: -50.665 eV per atom
- Energy of formation: -40 meV/atom
- Crystal system: cubic



No. 3
# CdRhAu

A PBEsol-optimized structure of CdRhAu (SCAN, Alexandria).

Cell lengths 4.3546, 4.3546, 4.3546 Å; angles 60.00, 60.00, 60.00 degrees
Atoms (fractional coordinates):
Au 0.2500 0.2500 0.2500
Cd 0.0000 0.0000 0.0000
Rh 0.5000 0.5000 0.5000

Values from the calculation:
- Electronic total energy: -44.215 eV per atom
- Energy of formation: 233 meV/atom
- Crystal system: cubic



No. 4
# CdRhAu2

A PBEsol-optimized structure of CdRhAu2 (SCAN, Alexandria).

Cell lengths 3.9872, 3.9872, 4.1211 Å; angles 90.00, 90.00, 90.00 degrees
Atoms (fractional coordinates):
Au 0.5000 0.0000 0.0000
Au 0.0000 0.5000 0.0000
Rh 0.0000 0.0000 0.5000
Cd 0.5000 0.5000 0.5000

Values from the calculation:
- Electronic total energy: -50.739 eV per atom
- Energy of formation: -114 meV/atom
- Crystal system: tetragonal